Computed, not measured: a relaxed PIrWO2 crystal at the PBE with a Hubbard U level of DFT.

Cell and atoms, written as CIF:
```
data_PIrWO2
_symmetry_space_group_name_H-M 'P 4/m m m'
_symmetry_Int_Tables_number 123
_symmetry_space_group_name_Hall '-P 4 2'
_cell_length_a 3.731
_cell_length_b 3.731
_cell_length_c 5.533
_cell_angle_alpha 90.00
_cell_angle_beta 90.00
_cell_angle_gamma 90.00
loop_
_atom_site_label
_atom_site_fract_x
_atom_site_fract_y
_atom_site_fract_z
P1 0.000 0.000 0.000
Ir1 0.500 0.500 0.000
W1 0.500 0.500 0.500
O1 0.000 0.500 0.500
```

Calculated volume ... 15.40 Å³ per atom
Polymorph energy (0 for the lowest one) ... 0 meV per atom